Record 1
First-principles (GGA-PBE) data for CeHo12Tl3 after structural relaxation, as listed in the Alexandria database.

Structure (CIF):
```
data_CeHo12Tl3
_symmetry_space_group_name_H-M 'P 4/m m m'
_symmetry_Int_Tables_number 123
_symmetry_space_group_name_Hall '-P 4 2'
_cell_length_a 4.836
_cell_length_b 4.836
_cell_length_c 19.766
_cell_angle_alpha 90.00
_cell_angle_beta 90.00
_cell_angle_gamma 90.00
loop_
_atom_site_label
_atom_site_fract_x
_atom_site_fract_y
_atom_site_fract_z
Ce1 0.000 0.000 0.000
Ho1 0.000 0.500 0.129
Ho2 0.000 0.500 0.377
Ho3 0.500 0.500 0.000
Ho4 0.500 0.500 0.255
Ho5 0.500 0.500 0.500
Tl1 0.000 0.000 0.256
Tl2 0.000 0.000 0.500
```

Values from the calculation:
Total moment (μB per formula unit): 1.63

***

Record 2
First-principles (GGA-PBE) data for CeHo3Tl5 after structural relaxation, as listed in the Alexandria database.

Structure (CIF):
```
data_CeHo3Tl5
_symmetry_space_group_name_H-M 'P 63/m c m'
_symmetry_Int_Tables_number 193
_symmetry_space_group_name_Hall '-P 6c 2'
_cell_length_a 9.4419
_cell_length_b 9.4419
_cell_length_c 6.4522
_cell_angle_alpha 90.00
_cell_angle_beta 90.00
_cell_angle_gamma 120.00
loop_
_atom_site_label
_atom_site_fract_x
_atom_site_fract_y
_atom_site_fract_z
Ce1 0.0000 0.0000 0.0000
Ho1 0.0000 0.3648 0.2500
Tl1 0.0000 0.3055 0.7500
Tl2 0.3333 0.6667 0.0000
```

Values from the calculation:
Total moment (μB per formula unit): 0.78

***

Record 3
First-principles (GGA-PBE) data for CeHo2Tl after structural relaxation, as listed in the Alexandria database.

Structure (CIF):
```
data_CeHo2Tl
_symmetry_space_group_name_H-M 'P 4/m m m'
_symmetry_Int_Tables_number 123
_symmetry_space_group_name_Hall '-P 4 2'
_cell_length_a 4.910
_cell_length_b 4.910
_cell_length_c 4.679
_cell_angle_alpha 90.00
_cell_angle_beta 90.00
_cell_angle_gamma 90.00
loop_
_atom_site_label
_atom_site_fract_x
_atom_site_fract_y
_atom_site_fract_z
Ce1 0.000 0.000 0.000
Ho1 0.000 0.500 0.500
Tl1 0.500 0.500 0.000
```

Values from the calculation:
Total moment (μB per formula unit): 1.08
Energy above the lowest structure with this stoichiometry (eV/atom): 0.006

***

Record 4
First-principles (GGA-PBE) data for CeHo2Tl after structural relaxation, as listed in the Alexandria database.

Structure (CIF):
```
data_CeHo2Tl
_symmetry_space_group_name_H-M 'R -3 m'
_symmetry_Int_Tables_number 166
_symmetry_space_group_name_Hall '-R 3 2"'
_cell_length_a 3.5165
_cell_length_b 3.5165
_cell_length_c 32.4915
_cell_angle_alpha 90.00
_cell_angle_beta 90.00
_cell_angle_gamma 120.00
loop_
_atom_site_label
_atom_site_fract_x
_atom_site_fract_y
_atom_site_fract_z
Ce1 0.0000 0.0000 0.0000
Ho1 0.0000 0.0000 0.2477
Tl1 0.0000 0.0000 0.5000
```

Values from the calculation:
Total moment (μB per formula unit): 0.36
Energy above the lowest structure with this stoichiometry (eV/atom): 0.043

***

Record 5
First-principles (GGA-PBE) data for CeHo8Tl6 after structural relaxation, as listed in the Alexandria database.

Structure (CIF):
```
data_CeHo8Tl6
_symmetry_space_group_name_H-M 'R -3'
_symmetry_Int_Tables_number 148
_symmetry_space_group_name_Hall '-R 3'
_cell_length_a 9.1087
_cell_length_b 9.1087
_cell_length_c 19.4421
_cell_angle_alpha 90.00
_cell_angle_beta 90.00
_cell_angle_gamma 120.00
loop_
_atom_site_label
_atom_site_fract_x
_atom_site_fract_y
_atom_site_fract_z
Ce1 0.0000 0.0000 0.0000
Ho1 0.0000 0.0000 0.3322
Ho2 0.0023 0.6726 0.1094
Tl1 0.9996 0.3406 0.0645
```

Values from the calculation:
Total moment (μB per formula unit): 1.45

***

Record 6
First-principles (GGA-PBE) data for CeHo3Tl3 after structural relaxation, as listed in the Alexandria database.

Structure (CIF):
```
data_CeHo3Tl3
_symmetry_space_group_name_H-M 'P 63/m'
_symmetry_Int_Tables_number 176
_symmetry_space_group_name_Hall '-P 6c'
_cell_length_a 9.4298
_cell_length_b 9.4298
_cell_length_c 5.2740
_cell_angle_alpha 90.00
_cell_angle_beta 90.00
_cell_angle_gamma 120.00
loop_
_atom_site_label
_atom_site_fract_x
_atom_site_fract_y
_atom_site_fract_z
Ce1 0.3333 0.6667 0.2500
Ho1 0.0014 0.7699 0.2500
Tl1 0.0742 0.6246 0.7500
```

Values from the calculation:
Total moment (μB per formula unit): 1.23

***

Record 7
First-principles (GGA-PBE) data for CeHo2Tl after structural relaxation, as listed in the Alexandria database.

Structure (CIF):
```
data_CeHo2Tl
_symmetry_space_group_name_H-M 'R 3 m'
_symmetry_Int_Tables_number 160
_symmetry_space_group_name_Hall 'R 3 -2"'
_cell_length_a 3.5400
_cell_length_b 3.5400
_cell_length_c 32.8315
_cell_angle_alpha 90.00
_cell_angle_beta 90.00
_cell_angle_gamma 120.00
loop_
_atom_site_label
_atom_site_fract_x
_atom_site_fract_y
_atom_site_fract_z
Ce1 0.0000 0.0000 0.0000
Ho1 0.0000 0.0000 0.5792
Ho2 0.0000 0.0000 0.7544
Tl1 0.0000 0.0000 0.1667
```

Values from the calculation:
Total moment (μB per formula unit): 1.30
Energy above the lowest structure with this stoichiometry (eV/atom): 0.079

***

Record 8
First-principles (GGA-PBE) data for Ce2HoTl3 after structural relaxation, as listed in the Alexandria database.

Structure (CIF):
```
data_Ce2HoTl3
_symmetry_space_group_name_H-M 'P 4/m m m'
_symmetry_Int_Tables_number 123
_symmetry_space_group_name_Hall '-P 4 2'
_cell_length_a 3.517
_cell_length_b 3.517
_cell_length_c 13.589
_cell_angle_alpha 90.00
_cell_angle_beta 90.00
_cell_angle_gamma 90.00
loop_
_atom_site_label
_atom_site_fract_x
_atom_site_fract_y
_atom_site_fract_z
Ce1 0.000 0.000 0.171
Ho1 0.000 0.000 0.500
Tl1 0.500 0.500 0.000
Tl2 0.500 0.500 0.340
```

Values from the calculation:
Total moment (μB per formula unit): 2.65

***

| no. | D(E_F) (states/eV/cell) | formation energy from the elements (eV per atom) | uncorrected energy (eV/atom) |
| --- | --- | --- | --- |
| 1 | 22.60 | -0.1064 | -4.35 |
| 2 | 19.81 | -0.2561 | -3.76 |
| 3 | 8.11 | -0.1310 | -4.49 |
| 4 | 14.82 | -0.0940 | -4.46 |
| 5 | 72.55 | -0.1023 | -3.89 |
| 6 | 26.98 | -0.1897 | -4.01 |
| 7 | 21.45 | -0.0584 | -4.42 |
| 8 | 14.44 | -0.2699 | -4.19 |